Density functional theory data (PBE) for crystalline Sn4Pt at its relaxed geometry.

a b c (Å): 6.463 6.463 23.142
angles (deg): 90.00 90.00 90.00
Space group I4_1/acd (No. 142, origin choice 2)
Symmetry-distinct sites (fractional):
Sn 0.166 0.083 0.438 x32
Pt 0.000 0.250 0.125 x8

Output
magnetization	0.000	μB/atom
uncorrected energy	-4.69	eV/atom